{
  "formula": "PmTmC",
  "functional": "PBE",
  "state": "optimized geometry",
  "lattice": [[3.475, 0.000, -0.957], [-0.226, 6.196, -0.821], [-0.053, -0.155, 6.598]],
  "species": ["C", "C", "Pm", "Pm", "Tm", "Tm"],
  "frac_coords": [[0.000, 0.500, 0.000], [0.500, 0.000, 0.000], [0.386, 0.630, 0.771], [0.614, 0.370, 0.229], [0.103, 0.867, 0.206], [0.897, 0.133, 0.794]],
  "total_magnetization_mub_per_atom": 0.10,
  "vol_a3_per_atom": 23.55,
  "e_above_lowest_polymorph_kcal_per_mol_atoms": 0.12,
  "e_form_ev_per_fu": -0.65
}



{
  "formula": "PmTmC",
  "functional": "PBE",
  "state": "optimized geometry",
  "lattice": [[-2.078, 1.492, 2.454], [-5.228, -1.925, -5.817], [-0.737, -4.641, 2.197]],
  "species": ["C", "C", "Tm", "Tm", "Pm", "Pm"],
  "frac_coords": [[0.359, 0.718, 0.943], [0.984, 0.968, 0.439], [0.375, 0.750, 0.435], [0.761, 0.523, 0.937], [0.593, 0.187, 0.438], [0.975, 0.950, 0.937]],
  "total_magnetization_mub_per_atom": 0.00,
  "vol_a3_per_atom": 24.08,
  "e_above_lowest_polymorph_kcal_per_mol_atoms": 2.12,
  "e_form_ev_per_fu": -0.39
}



{
  "formula": "PmTmC",
  "functional": "PBE",
  "state": "optimized geometry",
  "lattice": [[3.601, 0.000, 0.000], [0.000, 6.200, -0.903], [0.000, -3.231, 6.808]],
  "species": ["Pm", "Pm", "Tm", "Tm", "C", "C"],
  "frac_coords": [[0.250, 0.267, 0.276], [0.750, 0.733, 0.724], [0.250, 0.222, 0.710], [0.750, 0.778, 0.290], [0.750, 0.243, 0.504], [0.250, 0.757, 0.496]],
  "total_magnetization_mub_per_atom": 0.07,
  "vol_a3_per_atom": 23.58,
  "e_above_lowest_polymorph_kcal_per_mol_atoms": 0.00,
  "e_form_ev_per_fu": -0.67
}



{
  "formula": "PmTmC",
  "functional": "PBE",
  "state": "optimized geometry",
  "lattice": [[6.375, 0.000, 0.000], [0.000, 3.584, 0.000], [0.000, -1.792, 3.104]],
  "species": ["Tm", "C", "Pm"],
  "frac_coords": [[0.124, 0.000, 0.000], [0.322, 0.333, 0.667], [0.553, 0.667, 0.333]],
  "total_magnetization_mub_per_atom": 0.00,
  "vol_a3_per_atom": 23.64,
  "e_above_lowest_polymorph_kcal_per_mol_atoms": 0.28,
  "e_form_ev_per_fu": -0.63
}



{
  "formula": "Pm2U2C3",
  "functional": "PBE",
  "state": "optimized geometry",
  "lattice": [[3.385, 0.000, -0.909], [-0.197, 7.000, -0.734], [-0.358, -0.404, 5.421]],
  "species": ["U", "U", "Pm", "Pm", "C", "C", "C"],
  "frac_coords": [[0.348, 0.056, 0.696], [0.652, 0.944, 0.304], [0.885, 0.634, 0.770], [0.115, 0.366, 0.230], [0.228, 0.734, 0.457], [0.000, 0.000, 0.000], [0.772, 0.266, 0.543]],
  "total_magnetization_mub_per_atom": 0.15,
  "vol_a3_per_atom": 17.87,
  "e_form_ev_per_fu": -0.10
}



{
  "formula": "Pm3U2C4",
  "functional": "PBE",
  "state": "optimized geometry",
  "lattice": [[3.504, 0.000, 0.000], [-1.752, 6.026, 0.372], [0.000, -1.995, 7.653]],
  "species": ["C", "C", "C", "C", "Pm", "Pm", "Pm", "U", "U"],
  "frac_coords": [[0.676, 0.352, 0.096], [0.078, 0.156, 0.697], [0.324, 0.648, 0.904], [0.922, 0.844, 0.303], [0.000, 0.000, 0.000], [0.407, 0.814, 0.618], [0.593, 0.186, 0.382], [0.301, 0.602, 0.195], [0.699, 0.398, 0.805]],
  "total_magnetization_mub_per_atom": 0.00,
  "vol_a3_per_atom": 18.24,
  "e_form_ev_per_fu": -0.22
}